[1]
VASP calculation (PBE) on an optimized crystal structure of Cs2CaRh.

Unit cell a=8.969 b=8.969 c=12.163 alpha=90.00 beta=90.00 gamma=90.00
Space group I-42d (No. 122)
Symmetry-distinct sites (fractional):
Cs  0.058  0.250  0.125 x8
Ca  0.000  0.000  0.500 x4
Rh  0.000  0.000  0.000 x4

Output
Energy of formation from the pure elements (meV per atom): 793
Volume (Å³ per atom): 61.1
Energy above the lowest structure with this stoichiometry (meV per atom): 0
Calculated total energy (eV per atom): -1.97
N(E_F) (states/eV/atom): 0.349

[2]
VASP calculation (PBE) on an optimized crystal structure of La2ZnCu.

Unit cell a=3.738 b=4.857 c=10.771 alpha=90.00 beta=90.00 gamma=90.00
Space group Imm2 (No. 44)
Symmetry-distinct sites (fractional):
La  0.000  0.000  0.000 x2
La  0.000  0.500  0.202 x2
Zn  0.000  0.500  0.782 x2
Cu  0.000  0.000  0.445 x2

Output
Energy of formation from the pure elements (meV per atom): -178
Volume (Å³ per atom): 24.4
Calculated total energy (eV per atom): -3.98
N(E_F) (states/eV/atom): 0.956

[3]
VASP calculation (PBE) on an optimized crystal structure of B3MoIr.

Unit cell a=4.043 b=4.043 c=4.043 alpha=90.00 beta=90.00 gamma=90.00
Space group Pm-3m (No. 221)
Symmetry-distinct sites (fractional):
B  0.000  0.000  0.500 x3
Mo  0.000  0.000  0.000 x1
Ir  0.500  0.500  0.500 x1

Output
Energy of formation from the pure elements (meV per atom): 1766
Volume (Å³ per atom): 13.2
Energy above the lowest structure with this stoichiometry (meV per atom): 465
Calculated total energy (eV per atom): -6.18
N(E_F) (states/eV/atom): 0.723

[4]
VASP calculation (PBE) on an optimized crystal structure of La2OsAu.

Unit cell a=4.393 b=4.393 c=9.717 alpha=90.00 beta=90.00 gamma=90.00
Space group I-4m2 (No. 119)
Symmetry-distinct sites (fractional):
La  0.000  0.000  0.000 x2
La  0.000  0.500  0.250 x2
Os  0.000  0.500  0.750 x2
Au  0.000  0.000  0.500 x2

Output
Energy of formation from the pure elements (meV per atom): -111
Volume (Å³ per atom): 23.4
Calculated total energy (eV per atom): -6.20
N(E_F) (states/eV/atom): 0.812

[5]
VASP calculation (PBE) on an optimized crystal structure of InPt.

Unit cell a=7.339 b=7.880 c=13.026 alpha=90.00 beta=90.00 gamma=90.00
Space group Fddd (No. 70, origin choice 2)
Symmetry-distinct sites (fractional):
In  0.125  0.315  0.125 x16
Pt  0.125  0.125  0.519 x16

Output
Energy of formation from the pure elements (meV per atom): -157
Volume (Å³ per atom): 23.5
Calculated total energy (eV per atom): -4.55
N(E_F) (states/eV/atom): 0.527

[6]
VASP calculation (PBE) on an optimized crystal structure of CaTc2Rh.

Unit cell a=2.855 b=4.972 c=4.772 alpha=90.00 beta=96.31 gamma=90.00
Space group P2/m (No. 10)
Symmetry-distinct sites (fractional):
Ca  0.000  0.000  0.000 x1
Tc  0.325  0.500  0.744 x2
Rh  0.500  0.000  0.500 x1

Output
Energy of formation from the pure elements (meV per atom): 377
Volume (Å³ per atom): 16.8
Energy above the lowest structure with this stoichiometry (meV per atom): 207
Calculated total energy (eV per atom): -7.14
N(E_F) (states/eV/atom): 0.809

[7]
VASP calculation (PBE) on an optimized crystal structure of Sr2SbPb.

Unit cell a=4.121 b=4.389 c=7.527 alpha=90.00 beta=90.18 gamma=90.00
Space group P2/m (No. 10)
Symmetry-distinct sites (fractional):
Sr  0.000  0.000  0.236 x2
Sb  0.500  0.500  0.000 x1
Pb  0.500  0.500  0.500 x1

Output
Volume (Å³ per atom): 34.0
Energy above the lowest structure with this stoichiometry (meV per atom): 0
Calculated total energy (eV per atom): -3.49
N(E_F) (states/eV/atom): 0.505

[8]
VASP calculation (PBE) on an optimized crystal structure of TbPm2Nd5Y.

Unit cell a=8.723 b=8.723 c=16.504 alpha=90.00 beta=90.00 gamma=90.00
Space group I4/mcm (No. 140)
Symmetry-distinct sites (fractional):
Tb  0.000  0.000  0.250 x4
Pm  0.120  0.380  0.000 x8
Nd  0.000  0.000  0.000 x4
Nd  0.215  0.285  0.358 x16
Y  0.000  0.500  0.250 x4

Output
Energy of formation from the pure elements (meV per atom): 276
Volume (Å³ per atom): 34.9
Calculated total energy (eV per atom): -4.66
N(E_F) (states/eV/atom): 1.623